The following is a DFT calculation (PBE) of a relaxed structure of Ho3TeS2.

The structure belongs to space group Cmcm (No. 63); the cell edges are 4.0564, 13.7657 and 10.6979 Å and the angles 90.00°, 90.00° and 90.00°. The distinct sites, in fractional coordinates, are Ho at (0.0000, 0.0721, 0.2500), Ho at (0.0000, 0.3550, 0.0429), Te at (0.0000, 0.2597, 0.7500), S at (0.0000, 0.0000, 0.0000) and S at (0.0000, 0.4527, 0.2500).

The magnetic moment is 0.000 μB/atom. The total energy is -5.6756 eV per atom. For the theoretical density, the calculation gives 7.63 g/cm³. As for the raw formation energy: -34.30 kcal/mol of atoms. The value obtained for the volume is 24.890 Å³/atom.